Below is a relaxed Cs3NpCr2Se6 crystal, with properties calculated at the PBE-GGA level.

Structure (extended XYZ):
```
12
Lattice="3.5093 -6.0654 0.0000 3.5093 6.0654 0.0000 -2.3502 0.0000 8.2544" Properties=species:S:1:pos:R:3 pbc="T T T"
Cs 0.0000 0.0000 0.0000
Cs 3.5093 1.9754 0.0000
Cs 3.5093 -1.9754 0.0000
Np 2.3342 0.0000 4.1272
Cr 2.3342 4.0454 4.1272
Cr 2.3342 -4.0454 4.1272
Se 1.0761 2.1795 2.7114
Se -0.1881 0.0000 5.5292
Se 1.0761 -2.1795 2.7114
Se 3.5923 2.1795 5.5431
Se 4.8564 0.0000 2.7252
Se 3.5923 -2.1795 5.5431
```

Results
* uncorrected formation energy: -10.4 eV/f.u.
* calculated volume: 351.4 Å³/cell
* crystal system: monoclinic



Below is a relaxed HoEr3Sc crystal, with properties calculated at the PBE-GGA level.

Structure (extended XYZ):
```
20
Lattice="8.3443 0.0000 0.0000 0.0000 6.1905 0.0000 -3.0167 0.0000 11.5483" Properties=species:S:1:pos:R:3 pbc="T T T"
Ho 1.2563 0.3936 1.1796
Ho -0.2521 2.7016 6.9537
Ho 5.5797 3.4889 4.5945
Ho 4.0713 5.7968 10.3687
Er 0.1418 3.4915 2.9325
Er -1.3666 5.7943 8.7067
Er -1.3307 3.4947 11.3753
Er 0.1777 5.7910 5.6012
Er 1.4601 4.0839 9.4430
Er 2.9685 5.2018 3.6689
Er 2.3591 0.9887 7.8794
Er 3.8675 2.1066 2.1052
Er 5.1499 0.3995 5.9471
Er 6.6583 2.6958 0.1730
Er 6.6942 0.3962 2.8416
Er 5.1858 2.6990 8.6157
Sc 0.8057 1.1101 10.6133
Sc 2.3141 1.9851 4.8392
Sc 3.0135 4.2054 6.7090
Sc 4.5219 5.0803 0.9349
```

Results
* calculated formation energy: 0.111 eV/atom
* calculated volume: 596.5 Å³/cell
* crystal system: monoclinic
* energy relative to the lowest polymorph listed for this composition: 98 meV/atom



Below is a relaxed Th2VTe2Br4 crystal, with properties calculated at the PBE-GGA level.

Structure (extended XYZ):
```
9
Lattice="3.7456 0.0000 0.0000 -1.8728 3.2438 0.0000 0.0000 0.0000 24.2025" Properties=species:S:1:pos:R:3 pbc="T T T"
Th 0.0000 0.0000 0.0000
Th 0.0000 2.1625 8.1883
V 0.0000 2.1625 16.4352
Te 0.0000 0.0000 14.7237
Te 0.0000 0.0000 18.1465
Br 0.0000 0.0000 6.0469
Br 0.0000 0.0000 10.3203
Br 0.0000 2.1625 2.1407
Br 0.0000 2.1625 22.0733
```

Results
* uncorrected formation energy: -9.3 eV/f.u.
* calculated volume: 294.1 Å³/cell
* crystal system: trigonal



Below is a relaxed LiCdRu2 crystal, with properties calculated at the PBE-GGA level.

Structure (extended XYZ):
```
4
Lattice="1.4058 0.8116 9.2881 -1.4058 0.8116 9.2881 0.0000 -1.6232 9.2881" Properties=species:S:1:pos:R:3 pbc="T T T"
Li 0.0000 0.0000 0.0000
Cd 0.0000 0.0000 21.1222
Ru 0.0000 0.0000 7.0385
Ru 0.0000 0.0000 14.3590
```

Results
* calculated formation energy: 0.167 eV/atom
* calculated volume: 63.6 Å³/cell
* crystal system: trigonal



Below is a relaxed Pm2Er2Zn3 crystal, with properties calculated at the PBE-GGA level.

Structure (extended XYZ):
```
7
Lattice="5.0033 0.0000 0.0000 2.4980 4.3429 0.0000 2.4902 1.4387 8.2517" Properties=species:S:1:pos:R:3 pbc="T T T"
Pm 1.2440 0.7270 1.0024
Pm 8.7475 5.0546 7.2493
Er 3.7439 2.1703 3.0766
Er 6.2476 3.6112 5.1751
Zn 1.2451 0.7193 4.1258
Zn 3.7449 2.1624 6.0720
Zn 6.2466 3.6192 2.1797
```

Results
* calculated formation energy: -0.200 eV/atom
* calculated volume: 179.3 Å³/cell
* crystal system: triclinic



Below is a relaxed RbCu2Bi crystal, with properties calculated at the PBE-GGA level.

Structure (extended XYZ):
```
8
Lattice="-2.7892 2.7892 8.6285 2.7892 -2.7892 8.6285 2.7892 2.7892 -8.6285" Properties=species:S:1:pos:R:3 pbc="T T T"
Rb 2.7892 1.3946 2.1571
Rb 0.0000 1.3946 6.4714
Cu 0.0000 0.0000 0.0000
Cu 1.3946 1.3946 -4.3142
Cu 1.3946 -1.3946 4.3142
Cu 0.0000 2.7892 0.0000
Bi 2.7892 -1.3946 6.4714
Bi 0.0000 4.1838 2.1571
```

Results
* calculated formation energy: 0.145 eV/atom
* calculated volume: 268.5 Å³/cell
* crystal system: tetragonal